No. 1
Below is an optimized crystal structure of SrEu2Ga, with properties calculated at the PBE level.

Output
**E_form**: -7.2 kJ per mole of atoms
**E**: -6.3889 eV/atom
**Space-group type**: P4/mmm, No. 123
**Offset from the most stable computed form**: 0.159 eV per atom

Structure (POSCAR):
```
SrEu2Ga
1.0
-3.209 1.437 -3.922
-3.412 -3.428 1.536
-2.134 3.476 3.019
Eu Sr Ga
2 1 1
direct
0.000 0.000 0.500 Eu
0.000 0.500 0.000 Eu
0.500 0.500 0.500 Sr
0.500 0.000 0.000 Ga
```



No. 2
Below is an optimized crystal structure of Zn5Ag2Au, with properties calculated at the PBE level.

Output
**E_form**: -8.2 kJ per mole of atoms
**E**: -2.0039 eV/atom
**Space-group type**: I4/mmm, No. 139
**Offset from the most stable computed form**: 0.000 eV per atom

Structure (POSCAR):
```
Zn5Ag2Au
1.0
-0.641 3.561 -1.857
-3.873 -0.049 1.242
4.265 1.950 6.720
Zn Ag Au
5 2 1
direct
0.500 0.500 0.000 Zn
0.877 0.377 0.755 Zn
0.377 0.877 0.755 Zn
0.123 0.623 0.245 Zn
0.623 0.123 0.245 Zn
0.748 0.748 0.496 Ag
0.252 0.252 0.504 Ag
0.000 0.000 0.000 Au
```



No. 3
Below is an optimized crystal structure of Ca2ErMg5, with properties calculated at the PBE level.

Output
**E_form**: -5.5 kJ per mole of atoms
**E**: -2.1240 eV/atom
**Space-group type**: I4/mmm, No. 139

Structure (POSCAR):
```
Ca2ErMg5
1.0
5.387 0.000 0.000
0.000 5.387 0.000
-2.693 -2.693 7.633
Ca Er Mg
2 1 5
direct
0.747 0.747 0.495 Ca
0.253 0.253 0.505 Ca
0.000 0.000 0.000 Er
0.500 0.500 0.000 Mg
0.886 0.386 0.771 Mg
0.386 0.886 0.771 Mg
0.114 0.614 0.229 Mg
0.614 0.114 0.229 Mg
```



No. 4
Below is an optimized crystal structure of CuWSe, with properties calculated at the PBE level.

Output
**Formation energy without anion corrections**: 0.801 eV/atom
**E**: -6.0435 eV/atom
**Space-group type**: F-43m, No. 216
**Offset from the most stable computed form**: 0.700 eV per atom

Structure (POSCAR):
```
CuWSe
1.0
-2.202 -1.638 3.097
1.104 -3.643 1.622
1.599 -0.168 3.813
Cu Se W
1 1 1
direct
0.500 0.500 0.500 Cu
0.750 0.750 0.750 Se
0.000 0.000 0.000 W
```